1.
The following is a GGA-PBE calculation of a relaxed PbAu3Br4 crystal, from the Open Quantum Materials Database.

The calculation puts the total energy at -19.267 eV for the cell shown. As for the density: 8.90 Mg/m³. The space group is C2/m (12).

Lattice parameters (Å, degrees): 8.447 8.447 3.717 102.60 102.60 54.16
Atoms (fractional coordinates):
Au 0.500 0.500 0.000
Au 0.823 0.823 0.823
Au 0.177 0.177 0.177
Br 0.146 0.578 0.361
Br 0.854 0.422 0.639
Br 0.422 0.854 0.639
Br 0.578 0.146 0.361
Pb 0.000 0.000 0.500

***

2.
The following is a GGA-PBE calculation of a relaxed Rb2PbAuBr6 crystal, from the Open Quantum Materials Database.

The calculation puts the total energy at -28.735 eV for the cell shown. As for the density: 4.92 Mg/m³. The space group is Fm-3m (225).

Lattice parameters (Å, degrees): 7.955 7.955 7.955 60.00 60.00 60.00
Atoms (fractional coordinates):
Pb 0.500 0.500 0.500
Rb 0.750 0.750 0.750
Rb 0.250 0.250 0.250
Br 0.757 0.243 0.757
Br 0.243 0.243 0.757
Br 0.757 0.757 0.243
Br 0.243 0.757 0.243
Br 0.757 0.243 0.243
Br 0.243 0.757 0.757
Au 0.000 0.000 0.000

***

3.
The following is a GGA-PBE calculation of a relaxed Tl2PbAuBr6 crystal, from the Open Quantum Materials Database.

The calculation puts the total energy at -27.429 eV for the cell shown. As for the density: 6.18 Mg/m³. The space group is Fm-3m (225).

Lattice parameters (Å, degrees): 7.891 7.891 7.891 60.00 60.00 60.00
Atoms (fractional coordinates):
Br 0.757 0.243 0.757
Br 0.243 0.757 0.757
Br 0.243 0.757 0.243
Br 0.757 0.757 0.243
Br 0.243 0.243 0.757
Br 0.757 0.243 0.243
Pb 0.500 0.500 0.500
Tl 0.750 0.750 0.750
Tl 0.250 0.250 0.250
Au 0.000 0.000 0.000

***

4.
The following is a GGA-PBE calculation of a relaxed Tl2PtAuBr6 crystal, from the Open Quantum Materials Database.

The calculation puts the total energy at -28.282 eV for the cell shown. As for the density: 7.21 Mg/m³. The value obtained for the magnetization is 0.004 Bohr magnetons per cell. The space group is Fm-3m (225).

Lattice parameters (Å, degrees): 7.469 7.469 7.469 60.00 60.00 60.00
Atoms (fractional coordinates):
Tl 0.250 0.250 0.250
Tl 0.750 0.750 0.750
Br 0.758 0.242 0.758
Br 0.758 0.242 0.242
Br 0.242 0.242 0.758
Br 0.758 0.758 0.242
Br 0.242 0.758 0.242
Br 0.242 0.758 0.758
Pt 0.000 0.000 0.000
Au 0.500 0.500 0.500

***

5.
The following is a GGA-PBE calculation of a relaxed Rb2ZnAuBr6 crystal, from the Open Quantum Materials Database.

The calculation puts the total energy at -25.728 eV for the cell shown. As for the density: 4.86 Mg/m³. The space group is Fm-3m (225).

Lattice parameters (Å, degrees): 7.610 7.610 7.610 60.00 60.00 60.00
Atoms (fractional coordinates):
Br 0.755 0.245 0.245
Br 0.245 0.245 0.755
Br 0.755 0.755 0.245
Br 0.245 0.755 0.245
Br 0.245 0.755 0.755
Br 0.755 0.245 0.755
Zn 0.000 0.000 0.000
Rb 0.750 0.750 0.750
Rb 0.250 0.250 0.250
Au 0.500 0.500 0.500

***

6.
The following is a GGA-PBE calculation of a relaxed AuS2Br crystal, from the Open Quantum Materials Database.

The calculation puts the total energy at -12.938 eV for the cell shown. As for the density: 6.01 Mg/m³. The space group is Cm (8).

Lattice parameters (Å, degrees): 6.432 6.432 4.315 105.59 105.59 33.33
Atoms (fractional coordinates):
Br 0.644 0.644 0.939
Au 0.406 0.406 0.030
S 0.840 0.840 0.642
S 0.970 0.970 0.411

***

7.
The following is a GGA-PBE calculation of a relaxed Au6SBr crystal, from the Open Quantum Materials Database.

The calculation puts the total energy at -22.744 eV for the cell shown. As for the density: 11.53 Mg/m³. The space group is F-43m (216).

Lattice parameters (Å, degrees): 6.410 6.410 6.410 60.00 60.00 60.00
Atoms (fractional coordinates):
Au 0.971 0.529 0.971
Au 0.529 0.971 0.529
Au 0.971 0.529 0.529
Au 0.529 0.971 0.971
Au 0.971 0.971 0.529
Au 0.529 0.529 0.971
S 0.250 0.250 0.250
Br 0.000 0.000 0.000

***

8.
The following is a GGA-PBE calculation of a relaxed Tl2SbAuBr6 crystal, from the Open Quantum Materials Database.

The calculation puts the total energy at -27.396 eV for the cell shown. As for the density: 5.93 Mg/m³. The space group is Fm-3m (225).

Lattice parameters (Å, degrees): 7.820 7.820 7.820 60.00 60.00 60.00
Atoms (fractional coordinates):
Br 0.748 0.252 0.252
Br 0.252 0.252 0.748
Br 0.748 0.748 0.252
Br 0.252 0.748 0.252
Br 0.748 0.252 0.748
Br 0.252 0.748 0.748
Tl 0.250 0.250 0.250
Tl 0.750 0.750 0.750
Sb 0.000 0.000 0.000
Au 0.500 0.500 0.500

***

9.
The following is a GGA-PBE calculation of a relaxed AuSeBr7 crystal, from the Open Quantum Materials Database.

The calculation puts the total energy at -39.150 eV for the cell shown. As for the density: 3.94 Mg/m³. The space group is Pc (7).

Lattice parameters (Å, degrees): 6.675 6.825 16.255 90.00 108.18 90.00
Atoms (fractional coordinates):
Se 0.837 0.564 0.311
Se 0.837 0.436 0.811
Br 0.746 0.571 0.931
Br 0.034 0.697 0.774
Br 0.824 0.266 0.643
Br 0.518 0.962 0.483
Br 0.295 0.756 0.634
Br 0.559 0.087 0.787
Br 0.518 0.038 0.983
Br 0.295 0.244 0.134
Br 0.034 0.303 0.274
Br 0.746 0.429 0.431
Br 0.135 0.245 0.894
Br 0.559 0.913 0.287
Br 0.135 0.755 0.394
Br 0.824 0.734 0.143
Au 0.549 0.984 0.136
Au 0.549 0.016 0.636

***

10.
The following is a GGA-PBE calculation of a relaxed Te2AuBr crystal, from the Open Quantum Materials Database.

The calculation puts the total energy at -12.003 eV for the cell shown. As for the density: 7.06 Mg/m³. The space group is Cm (8).

Lattice parameters (Å, degrees): 6.989 6.989 4.778 105.23 105.23 33.92
Atoms (fractional coordinates):
Te 0.180 0.180 0.334
Te 0.011 0.011 0.606
Au 0.595 0.595 0.969
Br 0.355 0.355 0.070

***

11.
The following is a GGA-PBE calculation of a relaxed Tl2ZnAuBr6 crystal, from the Open Quantum Materials Database.

The calculation puts the total energy at -24.604 eV for the cell shown. As for the density: 6.28 Mg/m³. The space group is Fm-3m (225).

Lattice parameters (Å, degrees): 7.550 7.550 7.550 60.00 60.00 60.00
Atoms (fractional coordinates):
Br 0.255 0.255 0.745
Br 0.745 0.745 0.255
Br 0.255 0.745 0.745
Br 0.255 0.745 0.255
Br 0.745 0.255 0.745
Br 0.745 0.255 0.255
Au 0.000 0.000 0.000
Tl 0.750 0.750 0.750
Tl 0.250 0.250 0.250
Zn 0.500 0.500 0.500

***

12.
The following is a GGA-PBE calculation of a relaxed AuC crystal, from the Open Quantum Materials Database.

For the polymorph energy (0 for the lowest one), the calculation gives 0 meV/atom. The calculation puts the total energy at -8.739 eV for the cell shown. As for the density: 11.67 Mg/m³. The space group is F-43m (216).

Lattice parameters (Å, degrees): 3.477 3.477 3.477 60.00 60.00 60.00
Atoms (fractional coordinates):
Au 0.000 0.000 0.000
C 0.250 0.250 0.250